The following is a GGA-PBE calculation of crystalline Ho2Si3B at its relaxed geometry, from Alexandria via LeMat-Bulk.

abc: 7.691 7.551 5.588
angles: 69.84 67.16 43.00
Element x y z (fractional)
Ho (0.244, 0.756, 0.244)
Ho (0.250, 0.250, 0.250)
Ho (0.750, 0.750, 0.750)
Ho (0.756, 0.244, 0.756)
Si (0.177, 0.177, 0.823)
Si (0.180, 0.642, 0.820)
Si (0.358, 0.820, 0.642)
Si (0.642, 0.180, 0.358)
Si (0.820, 0.358, 0.180)
Si (0.823, 0.823, 0.177)
B (0.333, 0.333, 0.667)
B (0.667, 0.667, 0.333)

- formation energy without anion corrections (eV per formula unit) = -3.16
- Fermi-level density of states (states/eV/atom) = 0.512
- V (Å³/f.u.) = 101.52
- crystal system = orthorhombic

***

The following is a GGA-PBE calculation of crystalline Ho5Si2B8 at its relaxed geometry, from Alexandria via LeMat-Bulk.

abc: 7.208 7.208 8.050
angles: 90.00 90.00 90.00
Element x y z (fractional)
Ho (0.000, 0.000, 0.000)
Ho (0.181, 0.319, 0.276)
Ho (0.181, 0.319, 0.724)
Ho (0.319, 0.819, 0.276)
Ho (0.319, 0.819, 0.724)
Ho (0.500, 0.500, 0.000)
Ho (0.681, 0.181, 0.276)
Ho (0.681, 0.181, 0.724)
Ho (0.819, 0.681, 0.276)
Ho (0.819, 0.681, 0.724)
Si (0.116, 0.616, 0.000)
Si (0.384, 0.116, 0.000)
Si (0.616, 0.884, 0.000)
Si (0.884, 0.384, 0.000)
B (0.000, 0.000, 0.337)
B (0.000, 0.000, 0.663)
B (0.039, 0.828, 0.500)
B (0.090, 0.590, 0.500)
B (0.172, 0.039, 0.500)
B (0.328, 0.539, 0.500)
B (0.410, 0.090, 0.500)
B (0.461, 0.328, 0.500)
B (0.500, 0.500, 0.337)
B (0.500, 0.500, 0.663)
B (0.539, 0.672, 0.500)
B (0.590, 0.910, 0.500)
B (0.672, 0.461, 0.500)
B (0.828, 0.961, 0.500)
B (0.910, 0.410, 0.500)
B (0.961, 0.172, 0.500)

- formation energy without anion corrections (eV per formula unit) = -10.22
- Fermi-level density of states (states/eV/atom) = 0.324
- V (Å³/f.u.) = 209.09
- crystal system = tetragonal